Compound: KCaMn3
Source: the Alexandria database
Functional: PBE-GGA
Structure: optimized geometry

Cell lengths 5.536, 5.536, 5.536 Å; angles 90.00, 90.00, 90.00 degrees
Site moments in Bohr magnetons follow the coordinates.
Atoms (fractional coordinates):
Mn 0.000 0.500 0.000  4.01
Mn 0.000 0.000 0.500  3.75
K 0.500 0.500 0.500  -0.01
Ca 0.000 0.000 0.000  -0.16
Mn 0.500 0.000 0.000  4.21

Values from the calculation:
**Excess energy over the best structure of this formula in the dataset**: 0.000 eV per atom
**Space group**: Pm-3m, No. 221
**Energy of formation**: 7.452 eV per formula unit